(1)
Density functional theory data (GGA-PBE) for crystalline Ca2PrY at its relaxed geometry.

POSCAR file:
```
Ca2PrY
1.0
5.930 0.000 0.000
2.965 5.135 0.000
2.965 1.712 4.841
Y Pr Ca
1 1 2
direct
0.500 0.500 0.500 Y
0.000 0.000 0.000 Pr
0.250 0.250 0.250 Ca
0.750 0.750 0.750 Ca
```

Calculated values
**Energy relative to the lowest polymorph listed for this composition**: 0.036 eV per atom
**Density**: 3.49 Mg/m³
**Crystal system**: cubic
**Formation energy**: 0.130 eV per atom
**D(E_F)**: 5.33 states/eV/f.u.
**Symmetry**: Fm-3m (225)

=====

(2)
Density functional theory data (GGA-PBE) for crystalline Ca2Pr6Y3 at its relaxed geometry.

POSCAR file:
```
Ca2Pr6Y3
1.0
-1.900 1.380 2.846
1.564 0.208 3.335
11.250 31.109 -5.180
Y Pr Ca
3 6 2
direct
0.000 0.000 0.000 Y
0.274 0.274 0.177 Y
0.726 0.726 0.823 Y
0.088 0.088 0.737 Pr
0.363 0.363 0.912 Pr
0.181 0.181 0.456 Pr
0.819 0.819 0.544 Pr
0.912 0.912 0.263 Pr
0.637 0.637 0.088 Pr
0.453 0.453 0.640 Ca
0.547 0.547 0.360 Ca
```

Calculated values
**Density**: 5.03 Mg/m³
**Crystal system**: trigonal
**Formation energy**: 0.020 eV per atom
**D(E_F)**: 13.44 states/eV/f.u.
**Symmetry**: R-3m (166)

=====

(3)
Density functional theory data (GGA-PBE) for crystalline CaPr12Y3 at its relaxed geometry.

POSCAR file:
```
CaPr12Y3
1.0
5.226 0.000 0.000
0.000 5.226 0.000
0.000 0.000 20.873
Pr Y Ca
12 3 1
direct
0.000 0.500 0.871 Pr
0.000 0.500 0.624 Pr
0.500 0.000 0.129 Pr
0.500 0.500 0.251 Pr
0.500 0.500 0.749 Pr
0.500 0.000 0.871 Pr
0.500 0.000 0.376 Pr
0.500 0.500 0.500 Pr
0.000 0.500 0.376 Pr
0.000 0.500 0.129 Pr
0.500 0.000 0.624 Pr
0.500 0.500 0.000 Pr
0.000 0.000 0.749 Y
0.000 0.000 0.500 Y
0.000 0.000 0.251 Y
0.000 0.000 0.000 Ca
```

Calculated values
**Density**: 5.82 Mg/m³
**Crystal system**: tetragonal
**Formation energy**: 0.020 eV per atom
**D(E_F)**: 24.08 states/eV/f.u.
**Symmetry**: P4/mmm (123)

=====

(4)
Density functional theory data (GGA-PBE) for crystalline CaPr5Y2 at its relaxed geometry.

POSCAR file:
```
CaPr5Y2
1.0
-5.396 9.061 0.567
1.474 -2.402 10.179
1.565 8.010 8.434
Pr Y Ca
10 4 2
direct
0.696 0.304 0.421 Pr
0.696 0.304 0.079 Pr
0.105 0.895 0.064 Pr
0.304 0.696 0.921 Pr
0.550 0.450 0.750 Pr
0.304 0.696 0.579 Pr
0.105 0.895 0.436 Pr
0.450 0.550 0.250 Pr
0.895 0.105 0.936 Pr
0.895 0.105 0.564 Pr
0.500 0.000 0.000 Y
0.500 0.500 0.000 Y
0.500 0.500 0.500 Y
0.000 0.500 0.500 Y
0.904 0.096 0.250 Ca
0.096 0.904 0.750 Ca
```

Calculated values
**Density**: 5.19 Mg/m³
**Crystal system**: monoclinic
**Formation energy**: 0.236 eV per atom
**D(E_F)**: 14.46 states/eV/f.u.
**Symmetry**: C2/c (15)

=====

(5)
Density functional theory data (GGA-PBE) for crystalline CaPrY at its relaxed geometry.

POSCAR file:
```
CaPrY
1.0
-3.186 -1.580 1.001
1.704 -1.079 -3.095
4.649 -6.349 4.775
Y Ca Pr
1 1 1
direct
0.667 0.333 0.344 Y
0.000 0.000 0.004 Ca
0.333 0.667 0.652 Pr
```

Calculated values
**Energy relative to the lowest polymorph listed for this composition**: 0.014 eV per atom
**Density**: 4.12 Mg/m³
**Crystal system**: trigonal
**Formation energy**: 0.043 eV per atom
**D(E_F)**: 3.81 states/eV/f.u.
**Symmetry**: P3m1 (156)

=====

(6)
Density functional theory data (GGA-PBE) for crystalline Ca3Pr2Y2 at its relaxed geometry.

POSCAR file:
```
Ca3Pr2Y2
1.0
-1.271 3.092 -1.527
-5.256 -2.234 -0.147
-4.933 3.557 11.308
Y Ca Pr
2 3 2
direct
0.000 0.845 0.310 Y
0.000 0.155 0.690 Y
0.500 0.423 0.154 Ca
0.500 0.577 0.846 Ca
0.000 0.000 0.000 Ca
0.500 0.718 0.563 Pr
0.500 0.282 0.437 Pr
```

Calculated values
**Density**: 3.66 Mg/m³
**Crystal system**: orthorhombic
**Formation energy**: 0.063 eV per atom
**D(E_F)**: 12.74 states/eV/f.u.
**Symmetry**: Cmmm (65)

=====

(7)
Density functional theory data (GGA-PBE) for crystalline CaPr15Y4 at its relaxed geometry.

POSCAR file:
```
CaPr15Y4
1.0
5.228 0.000 0.000
0.000 5.228 0.000
0.000 0.000 26.038
Pr Y Ca
15 4 1
direct
0.500 0.000 0.103 Pr
0.000 0.500 0.897 Pr
0.000 0.500 0.103 Pr
0.500 0.500 0.201 Pr
0.500 0.000 0.301 Pr
0.500 0.000 0.699 Pr
0.500 0.500 0.400 Pr
0.500 0.500 0.799 Pr
0.500 0.500 0.600 Pr
0.000 0.500 0.500 Pr
0.500 0.500 0.000 Pr
0.000 0.500 0.301 Pr
0.000 0.500 0.699 Pr
0.500 0.000 0.897 Pr
0.500 0.000 0.500 Pr
0.000 0.000 0.799 Y
0.000 0.000 0.401 Y
0.000 0.000 0.599 Y
0.000 0.000 0.201 Y
0.000 0.000 0.000 Ca
```

Calculated values
**Density**: 5.85 Mg/m³
**Crystal system**: tetragonal
**Formation energy**: 0.016 eV per atom
**D(E_F)**: 29.76 states/eV/f.u.
**Symmetry**: P4/mmm (123)

=====

(8)
Density functional theory data (GGA-PBE) for crystalline Ca2PrY2 at its relaxed geometry.

POSCAR file:
```
Ca2PrY2
1.0
-0.671 -7.481 5.934
-3.421 -5.366 -7.152
3.700 -1.088 -0.953
Ca Y Pr
4 4 2
direct
0.329 0.829 0.500 Ca
0.171 0.329 0.500 Ca
0.829 0.671 0.500 Ca
0.671 0.171 0.500 Ca
0.127 0.627 0.000 Y
0.873 0.373 0.000 Y
0.373 0.127 0.000 Y
0.627 0.873 0.000 Y
0.500 0.500 0.000 Pr
0.000 0.000 0.000 Pr
```

Calculated values
**Density**: 3.64 Mg/m³
**Crystal system**: tetragonal
**Formation energy**: 0.213 eV per atom
**D(E_F)**: 8.56 states/eV/f.u.
**Symmetry**: P4/mbm (127)

=====

(9)
Density functional theory data (GGA-PBE) for crystalline CaPr6Y4 at its relaxed geometry.

POSCAR file:
```
CaPr6Y4
1.0
7.870 0.000 0.000
0.000 7.870 0.000
-3.935 -3.935 6.738
Y Pr Ca
4 6 1
direct
0.918 0.918 0.157 Y
0.239 0.239 0.157 Y
0.082 0.761 0.843 Y
0.761 0.082 0.843 Y
0.934 0.446 0.381 Pr
0.500 0.000 0.000 Pr
0.000 0.500 0.000 Pr
0.554 0.554 0.619 Pr
0.066 0.066 0.619 Pr
0.446 0.934 0.381 Pr
0.500 0.500 0.000 Ca
```

Calculated values
**Energy relative to the lowest polymorph listed for this composition**: 0.013 eV per atom
**Density**: 4.94 Mg/m³
**Crystal system**: tetragonal
**Formation energy**: 0.357 eV per atom
**D(E_F)**: 16.97 states/eV/f.u.
**Symmetry**: I-42m (121)

=====

(10)
Density functional theory data (GGA-PBE) for crystalline CaPr8Y3 at its relaxed geometry.

POSCAR file:
```
CaPr8Y3
1.0
3.572 0.488 -0.801
2.324 13.043 1.338
2.988 8.322 9.889
Y Pr Ca
3 8 1
direct
0.119 0.129 0.498 Y
0.127 0.451 0.838 Y
0.876 0.537 0.167 Y
0.627 0.955 0.829 Pr
0.377 0.372 0.497 Pr
0.125 0.790 0.167 Pr
0.373 0.043 0.160 Pr
0.631 0.615 0.502 Pr
0.874 0.208 0.832 Pr
0.619 0.297 0.161 Pr
0.377 0.699 0.844 Pr
0.873 0.873 0.503 Ca
```

Calculated values
**Density**: 5.57 Mg/m³
**Crystal system**: triclinic
**Formation energy**: 0.026 eV per atom
**D(E_F)**: 17.51 states/eV/f.u.
**Symmetry**: P1 (1)

=====

(11)
Density functional theory data (GGA-PBE) for crystalline CaPrY4 at its relaxed geometry.

POSCAR file:
```
CaPrY4
1.0
-0.134 -2.182 2.931
5.948 -1.911 -1.152
4.165 13.720 10.406
Y Pr Ca
8 2 2
direct
0.499 0.393 0.669 Y
0.501 0.607 0.331 Y
0.501 0.888 0.172 Y
0.499 0.112 0.828 Y
0.001 0.393 0.169 Y
0.999 0.888 0.672 Y
0.001 0.112 0.328 Y
0.999 0.607 0.831 Y
0.500 0.500 0.000 Pr
0.000 0.500 0.500 Pr
0.500 0.000 0.500 Ca
0.000 0.000 0.000 Ca
```

Calculated values
**Density**: 4.36 Mg/m³
**Crystal system**: monoclinic
**Formation energy**: 0.037 eV per atom
**D(E_F)**: 8.97 states/eV/f.u.
**Symmetry**: C2/m (12)

=====

(12)
Density functional theory data (GGA-PBE) for crystalline CaPrY3 at its relaxed geometry.

POSCAR file:
```
CaPrY3
1.0
-4.253 -3.554 3.149
5.870 1.750 1.765
-4.197 9.256 4.772
Ca Y Pr
2 6 2
direct
0.656 0.344 0.500 Ca
0.344 0.656 0.500 Ca
0.000 0.000 0.317 Y
0.000 0.000 0.683 Y
0.348 0.652 0.807 Y
0.652 0.348 0.193 Y
0.652 0.348 0.807 Y
0.348 0.652 0.193 Y
0.866 0.134 0.000 Pr
0.134 0.866 0.000 Pr
```

Calculated values
**Density**: 4.20 Mg/m³
**Crystal system**: orthorhombic
**Formation energy**: 0.206 eV per atom
**D(E_F)**: 9.32 states/eV/f.u.
**Symmetry**: Cmmm (65)

=====

(13)
Density functional theory data (GGA-PBE) for crystalline CaPr7Y3 at its relaxed geometry.

POSCAR file:
```
CaPr7Y3
1.0
-4.451 -3.989 -2.869
-3.390 -0.491 7.120
-4.624 6.386 -0.528
Y Pr Ca
3 7 1
direct
0.000 0.833 0.167 Y
0.500 0.000 0.000 Y
0.000 0.167 0.833 Y
0.000 0.500 0.500 Pr
0.745 0.079 0.425 Pr
0.791 0.765 0.765 Pr
0.255 0.575 0.921 Pr
0.745 0.425 0.079 Pr
0.255 0.921 0.575 Pr
0.209 0.235 0.235 Pr
0.500 0.500 0.500 Ca
```

Calculated values
**Energy relative to the lowest polymorph listed for this composition**: 0.018 eV per atom
**Density**: 5.26 Mg/m³
**Crystal system**: monoclinic
**Formation energy**: 0.221 eV per atom
**D(E_F)**: 15.31 states/eV/f.u.
**Symmetry**: C2/m (12)

=====

(14)
Density functional theory data (GGA-PBE) for crystalline CaPr6Y5 at its relaxed geometry.

POSCAR file:
```
CaPr6Y5
1.0
-0.306 4.817 4.131
-7.859 0.021 -2.248
-2.243 -5.953 5.132
Pr Y Ca
6 5 1
direct
0.748 0.577 0.917 Pr
0.252 0.423 0.083 Pr
0.252 0.083 0.423 Pr
0.742 0.252 0.252 Pr
0.258 0.748 0.748 Pr
0.748 0.917 0.577 Pr
0.500 0.500 0.500 Y
0.500 0.829 0.171 Y
0.000 0.338 0.662 Y
0.000 0.662 0.338 Y
0.500 0.171 0.829 Y
0.000 0.000 0.000 Ca
```

Calculated values
**Density**: 5.31 Mg/m³
**Crystal system**: monoclinic
**Formation energy**: 0.025 eV per atom
**D(E_F)**: 14.95 states/eV/f.u.
**Symmetry**: C2/m (12)

=====

(15)
Density functional theory data (GGA-PBE) for crystalline CaPr4Y at its relaxed geometry.

POSCAR file:
```
CaPr4Y
1.0
3.619 0.000 0.001
0.000 6.700 0.000
-1.805 -3.350 9.075
Pr Ca Y
4 1 1
direct
0.632 0.547 0.095 Pr
0.454 0.132 0.742 Pr
0.291 0.707 0.415 Pr
0.454 0.610 0.742 Pr
0.120 0.036 0.072 Ca
0.801 0.217 0.435 Y
```

Calculated values
**Energy relative to the lowest polymorph listed for this composition**: 0.136 eV per atom
**Density**: 5.23 Mg/m³
**Crystal system**: orthorhombic
**Formation energy**: 0.170 eV per atom
**D(E_F)**: 10.34 states/eV/f.u.
**Symmetry**: Imm2 (44)

=====

(16)
Density functional theory data (GGA-PBE) for crystalline CaPrY at its relaxed geometry.

POSCAR file:
```
CaPrY
1.0
-2.362 0.805 2.641
-2.791 -0.997 -2.192
2.256 -15.871 4.354
Pr Y Ca
2 2 2
direct
0.365 0.251 0.730 Pr
0.635 0.749 0.270 Pr
0.211 0.250 0.423 Y
0.789 0.750 0.577 Y
0.050 0.249 0.100 Ca
0.950 0.751 0.900 Ca
```

Calculated values
**Energy relative to the lowest polymorph listed for this composition**: 0.029 eV per atom
**Density**: 4.05 Mg/m³
**Crystal system**: monoclinic
**Formation energy**: 0.058 eV per atom
**D(E_F)**: 4.01 states/eV/f.u.
**Symmetry**: C2/m (12)

=====

(17)
Density functional theory data (GGA-PBE) for crystalline Ca2Pr2Y at its relaxed geometry.

POSCAR file:
```
Ca2Pr2Y
1.0
9.566 0.000 0.000
0.000 9.566 0.000
0.000 0.000 4.020
Pr Ca Y
4 4 2
direct
0.873 0.373 0.000 Pr
0.127 0.627 0.000 Pr
0.373 0.127 0.000 Pr
0.627 0.873 0.000 Pr
0.673 0.173 0.500 Ca
0.173 0.327 0.500 Ca
0.827 0.673 0.500 Ca
0.327 0.827 0.500 Ca
0.500 0.500 0.000 Y
0.000 0.000 0.000 Y
```

Calculated values
**Energy relative to the lowest polymorph listed for this composition**: 0.000 eV per atom
**Density**: 4.07 Mg/m³
**Crystal system**: tetragonal
**Formation energy**: 0.212 eV per atom
**D(E_F)**: 6.94 states/eV/f.u.
**Symmetry**: P4/mbm (127)

=====

(18)
Density functional theory data (GGA-PBE) for crystalline CaPr4Y15 at its relaxed geometry.

POSCAR file:
```
CaPr4Y15
1.0
-0.942 0.537 5.009
-1.031 -5.008 0.343
24.548 -4.703 5.121
Y Pr Ca
15 4 1
direct
0.500 0.500 0.800 Y
0.500 0.000 0.500 Y
0.000 0.500 0.500 Y
0.000 0.500 0.699 Y
0.000 0.500 0.897 Y
0.500 0.500 0.200 Y
0.500 0.000 0.301 Y
0.500 0.500 0.000 Y
0.000 0.500 0.301 Y
0.500 0.500 0.600 Y
0.500 0.000 0.103 Y
0.500 0.000 0.897 Y
0.500 0.000 0.699 Y
0.000 0.500 0.103 Y
0.500 0.500 0.400 Y
0.000 0.000 0.201 Pr
0.000 0.000 0.600 Pr
0.000 0.000 0.799 Pr
0.000 0.000 0.400 Pr
0.000 0.000 0.000 Ca
```

Calculated values
**Density**: 4.80 Mg/m³
**Crystal system**: tetragonal
**Formation energy**: 0.040 eV per atom
**D(E_F)**: 32.43 states/eV/f.u.
**Symmetry**: P4/mmm (123)

=====

(19)
Density functional theory data (GGA-PBE) for crystalline CaPr14Y at its relaxed geometry.

POSCAR file:
```
CaPr14Y
1.0
-5.854 -4.464 -1.339
6.874 -2.177 -1.999
1.490 -5.182 10.763
Pr Ca Y
14 1 1
direct
0.836 0.671 0.751 Pr
0.334 0.666 0.753 Pr
0.667 0.333 0.500 Pr
0.837 0.163 0.749 Pr
0.837 0.163 0.251 Pr
0.334 0.666 0.247 Pr
0.663 0.834 0.000 Pr
0.836 0.671 0.249 Pr
0.329 0.164 0.249 Pr
0.168 0.832 0.500 Pr
0.166 0.337 0.000 Pr
0.329 0.164 0.751 Pr
0.666 0.833 0.500 Pr
0.167 0.334 0.500 Pr
0.666 0.334 0.000 Ca
0.166 0.834 0.000 Y
```

Calculated values
**Density**: 5.97 Mg/m³
**Crystal system**: orthorhombic
**Formation energy**: 0.039 eV per atom
**D(E_F)**: 27.26 states/eV/f.u.
**Symmetry**: Amm2 (38)

=====

(20)
Density functional theory data (GGA-PBE) for crystalline Ca2Pr3Y2 at its relaxed geometry.

POSCAR file:
```
Ca2Pr3Y2
1.0
5.077 0.001 1.214
2.063 5.454 2.587
0.342 1.421 9.786
Y Pr Ca
2 3 2
direct
0.716 0.700 0.868 Y
0.284 0.300 0.132 Y
0.571 0.592 0.266 Pr
0.000 0.000 0.000 Pr
0.429 0.408 0.734 Pr
0.142 0.143 0.572 Ca
0.858 0.857 0.428 Ca
```

Calculated values
**Density**: 4.46 Mg/m³
**Crystal system**: monoclinic
**Formation energy**: 0.059 eV per atom
**D(E_F)**: 10.15 states/eV/f.u.
**Symmetry**: C2/m (12)

=====

Number 1: total magnetization 0.000 μB/f.u.. Number 2: total magnetization 0.000 μB/f.u.. Number 3: total magnetization 0.000 μB/f.u.. Number 4: total magnetization 0.000 μB/f.u.. Number 5: total magnetization 0.000 μB/f.u.. Number 6: total magnetization 0.000 μB/f.u.. Number 7: total magnetization 0.000 μB/f.u.. Number 8: total magnetization 0.000 μB/f.u.. Number 9: total magnetization 0.000 μB/f.u.. Number 10: total magnetization 0.000 μB/f.u.. Number 11: total magnetization 0.000 μB/f.u.. Number 12: total magnetization 0.001 μB/f.u.. Number 13: total magnetization 0.000 μB/f.u.. Number 14: total magnetization 0.000 μB/f.u.. Number 15: total magnetization 0.000 μB/f.u.. Number 16: total magnetization 0.000 μB/f.u.. Number 17: total magnetization 0.000 μB/f.u.. Number 18: total magnetization 0.000 μB/f.u.. Number 19: total magnetization 0.000 μB/f.u.. Number 20: total magnetization 0.000 μB/f.u..